A geometry-optimized Pm2SmSi3Pt4 structure, computed with GGA-PBE.

abc: 4.279 4.279 10.951
angles: 90.00 90.00 90.00
Sites, in units of the cell vectors:
Pm  0.000  0.500  0.223
Pm  0.500  0.000  0.777
Sm  0.000  0.000  0.500
Si  0.000  0.500  0.884
Si  0.500  0.000  0.116
Si  0.500  0.500  0.500
Pt  0.000  0.000  0.000
Pt  0.000  0.500  0.667
Pt  0.500  0.000  0.333
Pt  0.500  0.500  0.000

Summary:
Its crystal system is tetragonal. For the spin magnetization, the calculation gives 0.00 Bohr magnetons per cell. The electronic total energy is -6.49 eV per atom.